Entry from Alexandria: an optimized crystal structure of YMgSb2Te (PBE-GGA).

a b c (Å): 5.7963 5.7963 5.7848
angles (deg): 90.00 90.00 90.00
With the nearest neighbours (Å) after each atom.
Element x y z (fractional)
Y: 0.0000 0.0000 0.0000  2 Te 2.89, 4 Sb 2.90
Sb: 0.5000 0.0000 0.0000  2 Y 2.90
Te: 0.0000 0.0000 0.5000  2 Y 2.89
Sb: 0.0000 0.5000 0.0000  2 Y 2.90
Mg: 0.5000 0.5000 0.5000  8 Sb 4.09, 4 Te 4.10

Results
**SG**: P4/mmm, No. 123
**Calculated total energy**: -3.73 eV per atom
**Energy relative to the elements, uncorrected**: 0.8 eV/f.u.